Computed, not measured: crystalline MgNiGeF2 at its relaxed geometry at the PBE+U level of DFT.

Lattice parameters (Å, degrees): 3.915 5.760 3.915 90.00 90.00 90.00
Each line ends with the local moment (μB).
Sites, in units of the cell vectors:
Ni: 0.000 0.000 0.000  1.53
Ge: 0.500 0.500 0.500  0.06
Mg: 0.000 0.500 0.000  -0.02
F: 0.000 0.000 0.500  0.03
F: 0.500 0.000 0.000  0.02

Its total energy is -16.48 eV per cell. As for the space-group type: P4/mmm, No. 123.